# LaY2Pb2 | the Alexandria database | SCAN | single point on PBEsol structure
data_LaY2Pb2
_cell_length_a 5.795
_cell_length_b 5.795
_cell_length_c 9.866
_cell_angle_alpha 90.00
_cell_angle_beta 90.00
_cell_angle_gamma 90.00
_symmetry_space_group_name_H-M 'I 4/m m m'
_symmetry_Int_Tables_number 139
_symmetry_space_group_name_Hall '-I 4 2'
loop_
_atom_site_label
_atom_site_fract_x
_atom_site_fract_y
_atom_site_fract_z
La1 0.000 0.000 0.000
Y1 0.000 0.000 0.329
Pb1 0.000 0.500 0.250
# M_tot = 0.9 μB/cell
# Calculated density = 7.33 g/cm³
# Uncorrected energy = -50.449 eV/atom

# RbTcNi2Ge | the Alexandria database | SCAN | single point on PBEsol structure
data_RbTcNi2Ge
_cell_length_a 4.516
_cell_length_b 4.516
_cell_length_c 4.716
_cell_angle_alpha 90.00
_cell_angle_beta 90.00
_cell_angle_gamma 90.00
_symmetry_space_group_name_H-M 'P 4/m m m'
_symmetry_Int_Tables_number 123
_symmetry_space_group_name_Hall '-P 4 2'
loop_
_atom_site_label
_atom_site_fract_x
_atom_site_fract_y
_atom_site_fract_z
Rb1 0.000 0.000 0.000
Tc1 0.500 0.500 0.000
Ni1 0.000 0.500 0.500
Ge1 0.500 0.500 0.500
# M_tot = 1.8 μB/cell
# Calculated density = 6.45 g/cm³
# Uncorrected energy = -20.495 eV/atom